1.
Compound: Mg2Sc5ZnNi2
Source: Alexandria via LeMat-Bulk
Functional: GGA-PBE
Structure: optimized geometry

a b c (Å): 3.355 10.978 10.978
angles (deg): 90.00 90.00 90.00
Positions (direct):
Zn1 0.000 0.000 0.000
Sc1 0.500 0.796 0.931
Mg1 0.000 0.324 0.824
Sc2 0.500 0.069 0.796
Sc3 0.500 0.704 0.431
Sc4 0.500 0.931 0.204
Zn2 0.000 0.500 0.500
Sc5 0.500 0.500 0.000
Mg2 0.000 0.176 0.324
Mg3 0.000 0.676 0.176
Sc6 0.500 0.431 0.296
Ni1 0.000 0.370 0.130
Sc7 0.500 0.000 0.500
Sc8 0.500 0.296 0.569
Ni2 0.000 0.630 0.870
Sc9 0.500 0.204 0.069
Sc10 0.500 0.569 0.704
Ni3 0.000 0.870 0.370
Ni4 0.000 0.130 0.630
Mg4 0.000 0.824 0.676

Output
- symmetry = P4/mbm (127)
- energy relative to the elements (meV/atom) = -290



2.
Compound: MgZrScNi
Source: Alexandria via LeMat-Bulk
Functional: GGA-PBE
Structure: optimized geometry

a b c (Å): 4.748 4.748 4.748
angles (deg): 60.00 60.00 60.00
Site moments in Bohr magnetons follow the coordinates.
Positions (direct):
Sc1 0.250 0.250 0.250  0.05
Zr1 0.750 0.750 0.750  0.07
Ni1 0.000 0.000 0.000  0.09
Mg1 0.500 0.500 0.500  0.00

Output
- symmetry = F-43m (216)
- energy relative to the elements (meV/atom) = -60



3.
Compound: MgNiSe2
Source: Alexandria via LeMat-Bulk
Functional: GGA-PBE
Structure: optimized geometry

a b c (Å): 3.576 7.117 3.528
angles (deg): 90.00 90.00 90.00
Site moments in Bohr magnetons follow the coordinates.
Positions (direct):
Mg1 0.500 0.000 0.500  0.00
Ni1 0.000 0.500 0.500  0.76
Se1 0.500 0.500 0.000  0.19
Se2 0.000 0.000 0.000  0.05

Output
- symmetry = Pmmm (47)
- formation energy from raw total energies (meV/atom) = -244.6



4.
Compound: MgNiSe2
Source: Alexandria via LeMat-Bulk
Functional: GGA-PBE
Structure: optimized geometry

a b c (Å): 4.643 4.643 4.643
angles (deg): 60.00 60.00 60.00
Positions (direct):
Se1 0.250 0.250 0.250
Ni1 0.750 0.750 0.750
Mg1 0.500 0.500 0.500
Se2 0.000 0.000 0.000

Output
- symmetry = F-43m (216)
- formation energy from raw total energies (meV/atom) = 200.8



5.
Compound: MgNiSe3
Source: Alexandria via LeMat-Bulk
Functional: GGA-PBE
Structure: optimized geometry

a b c (Å): 4.750 4.750 4.750
angles (deg): 90.00 90.00 90.00
Positions (direct):
Se1 0.000 0.500 0.000
Se2 0.000 0.000 0.500
Mg1 0.500 0.500 0.500
Se3 0.500 0.000 0.000
Ni1 0.000 0.000 0.000

Output
- energy above the lowest structure with this stoichiometry (eV/atom) = 0.000
- symmetry = Pm-3m (221)
- formation energy from raw total energies (meV/atom) = 0.9



6.
Compound: MgNi2Se
Source: Alexandria via LeMat-Bulk
Functional: GGA-PBE
Structure: optimized geometry

a b c (Å): 3.184 3.183 5.583
angles (deg): 90.00 90.00 90.00
Positions (direct):
Mg1 0.500 0.500 0.750
Se1 0.500 0.500 0.250
Ni1 0.000 0.000 0.484
Ni2 0.000 0.000 0.016

Output
- energy above the lowest structure with this stoichiometry (eV/atom) = 0.056
- symmetry = P4/mmm (123)
- formation energy from raw total energies (meV/atom) = -91.3



Computed density of states at the Fermi level (states/eV/f.u.) in order:
11.3, 5.2, 3.6, 4.9, 4.6, 2.9